Entry 1:
The following is a PBE calculation of an optimized crystal structure of Li2SiWN, from Alexandria via LeMat-Bulk.

Geometry as extended XYZ:
```
5
Lattice="4.946 0.000 0.000 0.000 3.221 0.000 0.000 0.000 4.946" Properties=species:S:1:pos:R:3 pbc="T T T"
Si 0.000 0.000 0.000
Li 0.000 0.000 2.473
Li 2.473 0.000 0.000
W 2.473 1.610 2.473
N 0.000 1.610 0.000
```

Formation energy without anion corrections ... 1.287 eV per atom
Magnetic moment ... 0.000 μB/atom

---

Entry 2:
The following is a PBE calculation of an optimized crystal structure of TlTcHg2F, from Alexandria via LeMat-Bulk.

Geometry as extended XYZ:
```
5
Lattice="-4.998 -0.743 2.724 2.748 -1.497 4.632 0.114 5.481 1.704" Properties=species:S:1:pos:R:3 pbc="T T T"
Tl 0.000 0.000 0.000
F -1.068 1.620 4.530
Hg 0.057 2.740 0.852
Hg -2.499 -0.372 1.362
Tc 1.374 -0.749 2.316
```

Formation energy without anion corrections ... 0.771 eV per atom
Magnetic moment ... 0.926 μB/atom